Entry A
A relaxed O crystal. Source: the Alexandria database, functional PBE.

Output
- crystal system = tetragonal
- symmetry = No. 123

POSCAR file:
```
O
1.0
3.147 0.000 0.000
0.000 3.147 0.000
0.000 0.000 1.513
O
1
Direct
0.000 0.000 0.000
```

***

Entry B
A relaxed O crystal. Source: the Alexandria database, functional PBE.

Output
- crystal system = trigonal
- symmetry = No. 166

POSCAR file:
```
O
1.0
1.778 1.027 3.825
-1.778 1.027 3.825
0.000 -2.053 3.825
O
2
Direct
0.054 0.054 0.054
0.946 0.946 0.946
```

***

Entry C
A relaxed O crystal. Source: the Alexandria database, functional PBE.

Output
- crystal system = orthorhombic
- symmetry = No. 70

POSCAR file:
```
O
1.0
0.000 4.809 7.392
1.803 0.000 7.392
1.803 4.809 0.000
O
8
Direct
0.042 0.708 0.042
0.071 0.071 0.679
0.292 0.958 0.292
0.321 0.321 0.929
0.679 0.679 0.071
0.708 0.042 0.708
0.929 0.929 0.321
0.958 0.292 0.958
```

***

Entry D
A relaxed O crystal. Source: the Alexandria database, functional PBE.

Output
- crystal system = triclinic
- symmetry = No. 2

POSCAR file:
```
O
1.0
2.516 0.000 0.000
1.258 2.180 0.000
1.192 -0.584 4.255
O
2
Direct
0.088 0.461 0.356
0.912 0.539 0.644
```

***

The structure with the least stability is entry A.